# 1
# Sm3TeIr

A relaxed Sm3TeIr crystal (PBE-GGA, Alexandria via LeMat-Bulk).

Results
Total DFT energy (no corrections) ... -242.851 eV/cell
Crystal system ... monoclinic
Formation energy without anion corrections ... -405 kJ/mol of formula units
Total magnetic moment ... 0.0 μB per cell

CIF file:
```
data_Sm3TeIr
_chemical_formula_sum 'Sm24 Te8 Ir8'
_symmetry_space_group_name_H-M 'C 1 2/c 1'
_symmetry_Int_Tables_number 15
_cell_length_a 15.725
_cell_length_b 11.872
_cell_length_c 7.134
_cell_angle_alpha 90.00
_cell_angle_beta 99.80
_cell_angle_gamma 90.00
loop_
_symmetry_equiv_pos_as_xyz
'x,y,z'
'-x,-y,-z'
'-x,y,-z+1/2'
'x,-y,z+1/2'
'x+1/2,y+1/2,z'
'-x+1/2,-y+1/2,-z'
'-x+1/2,y+1/2,-z+1/2'
'x+1/2,-y+1/2,z+1/2'
loop_
_atom_site_label
_atom_site_type_symbol
_atom_site_fract_x
_atom_site_fract_y
_atom_site_fract_z
Sm1 Sm 0.098 0.067 0.460
Sm2 Sm 0.098 0.412 0.447
Sm3 Sm 0.099 0.251 0.960
Te1 Te 0.246 0.093 0.823
Ir1 Ir 0.000 0.229 0.250
Ir2 Ir 0.000 0.414 0.750
```

---

# 2
# Sm4TeIr

A relaxed Sm4TeIr crystal (PBE-GGA, Alexandria via LeMat-Bulk).

Results
Total DFT energy (no corrections) ... -135.856 eV/cell
Crystal system ... monoclinic
Formation energy without anion corrections ... -298 kJ/mol of formula units
Total magnetic moment ... 0.0 μB per cell

CIF file:
```
data_Sm4TeIr
_chemical_formula_sum 'Sm16 Te4 Ir4'
_symmetry_space_group_name_H-M 'C 1 2/m 1'
_symmetry_Int_Tables_number 12
_cell_length_a 19.806
_cell_length_b 5.582
_cell_length_c 9.842
_cell_angle_alpha 90.00
_cell_angle_beta 116.41
_cell_angle_gamma 90.00
loop_
_symmetry_equiv_pos_as_xyz
'x,y,z'
'-x,-y,-z'
'-x,y,-z'
'x,-y,z'
'x+1/2,y+1/2,z'
'-x+1/2,-y+1/2,-z'
'-x+1/2,y+1/2,-z'
'x+1/2,-y+1/2,z'
loop_
_atom_site_label
_atom_site_type_symbol
_atom_site_fract_x
_atom_site_fract_y
_atom_site_fract_z
Sm1 Sm 0.031 0.000 0.205
Sm2 Sm 0.104 0.500 0.024
Sm3 Sm 0.198 0.000 0.892
Sm4 Sm 0.249 0.000 0.325
Te1 Te 0.170 0.000 0.548
Ir1 Ir 0.115 0.000 0.053
```